A relaxed structure of CuNiN2O, computed with PBE+U.

abc: 3.6863 3.6863 3.9564
angles: 90.00 90.00 90.00
Last column: nearest neighbours and their distance in Å.
Sites, in units of the cell vectors:
N1 0.0000 0.5000 0.0000  2 Cu 1.84
Cu1 0.0000 0.0000 0.0000  4 N 1.84, 2 O 1.98
O1 0.0000 0.0000 0.5000  2 Cu 1.98
N2 0.5000 0.0000 0.0000  2 Cu 1.84
Ni1 0.5000 0.5000 0.5000  4 O 2.61, 8 N 2.70

Summary:
* DFT total energy: -4.0579 eV per atom